(1)
DFT (PBE) results for an optimized crystal structure of CsIrPdS3.

Properties
VASP energy in eV per atom: -5.03
Density in g/cm³: 6.03
Crystal system: monoclinic

a b c (Å): 8.5114 3.7385 9.6958
angles (deg): 90.00 109.60 90.00
Last column: nearest neighbours and their distance in Å.
Space group P2_1/m (No. 11)
Symmetry-distinct sites (fractional):
Cs 0.2235 0.2500 0.2538  7 S 3.43-3.74, 1 Pd 3.71, 2 Cs 3.74
Ir 0.3376 0.7500 0.8607  6 S 2.39-2.42
Pd 0.0976 0.2500 0.5845  3 S 2.33-2.52
S 0.1566 0.2500 0.8573  2 Ir 2.42, 1 Pd 2.52
S 0.2656 0.7500 0.5990  2 Pd 2.33, 1 Ir 2.40
S 0.4778 0.7500 0.1197  3 Ir 2.39-2.41

(2)
DFT (PBE) results for an optimized crystal structure of Ba2HgBi.

Properties
VASP energy in eV per atom: -2.42
Density in g/cm³: 7.55
Crystal system: cubic

a b c (Å): 8.4453 8.4453 8.4453
angles (deg): 90.00 90.00 90.00
Last column: nearest neighbours and their distance in Å.
Space group F-43m (No. 216)
Symmetry-distinct sites (fractional):
Ba 0.0000 0.0000 0.0000  4 Hg 3.66, 4 Ba 3.66
Ba 0.2500 0.2500 0.2500  4 Ba 3.66, 4 Bi 3.66
Hg 0.2500 0.2500 0.7500  4 Ba 3.66, 4 Bi 3.66
Bi 0.0000 0.0000 0.5000  4 Ba 3.66, 4 Hg 3.66

(3)
DFT (PBE) results for an optimized crystal structure of Zr2B6Os.

Properties
VASP energy in eV per atom: -8.29
Density in g/cm³: 8.19
Crystal system: orthorhombic

a b c (Å): 9.0205 11.2832 3.4867
angles (deg): 90.00 90.00 90.00
Last column: nearest neighbours and their distance in Å.
Space group Pbam (No. 55)
Symmetry-distinct sites (fractional):
Zr 0.0556 0.1268 0.0000  12 B 2.51-2.54, 1 Os 2.80
Zr 0.1773 0.4124 0.0000  14 B 2.64-2.72
B 0.0208 0.2883 0.5000  3 B 1.75-1.82
B 0.0523 0.5640 0.5000  3 B 1.73-1.80
B 0.1076 0.9706 0.5000  2 B 1.75-1.76
B 0.1323 0.8171 0.5000  3 B 1.73-1.82
B 0.2036 0.2372 0.5000  3 B 1.73-1.84
B 0.2490 0.0778 0.5000  3 B 1.76-1.84
Os 0.1411 0.6786 0.0000  10 B 2.30-2.34

(4)
DFT (PBE) results for an optimized crystal structure of Ho4AlPt.

Properties
VASP energy in eV per atom: -5.33
Density in g/cm³: 9.52
Crystal system: cubic

a b c (Å): 13.5002 13.5002 13.5002
angles (deg): 90.00 90.00 90.00
Last column: nearest neighbours and their distance in Å.
Space group F-43m (No. 216)
Symmetry-distinct sites (fractional):
Ho 0.0000 0.0000 0.1855  2 Al 3.29, 10 Ho 3.47-3.57, 2 Pt 3.47
Ho 0.0571 0.2500 0.7500  2 Pt 2.82
Ho 0.1045 0.1045 0.3955  3 Pt 2.85
Al 0.1721 0.1721 0.1721  3 Al 2.98, 6 Ho 3.28-3.29
Pt 0.1063 0.1063 0.6063  6 Ho 2.82-2.85